[1]
Pa2ZnC | GGA-PBE | optimized geometry

Cell: 3.250 3.250 9.640 Å, 80.30 80.30 60.00°
Fractional coordinates of all 4 atoms:
C 0.500 0.500 0.500
Pa 0.113 0.113 0.660
Pa 0.887 0.887 0.340
Zn 0.000 0.000 0.000

Computed properties:
For the excess energy over the best structure of this formula in the dataset, the calculation gives 39 meV per atom. The density of states at the Fermi level comes out at 6.7 states/eV/f.u. The value obtained for the volume is 21.6 A^3/atom. The value obtained for the energy of formation from the pure elements is 0.07 eV per atom. The total energy is -29.22 eV/cell. The total magnetization is 0.0 μB/f.u.


[2]
ZrPa5C6 | GGA-PBE | optimized geometry

Cell: 6.174 6.177 6.172 Å, 59.97 80.43 70.59°
Fractional coordinates of all 12 atoms:
Pa 0.500 0.500 0.000
Pa 0.500 0.167 0.667
Pa 0.000 0.334 0.332
Pa 0.000 0.666 0.668
Pa 0.500 0.833 0.333
C 0.751 0.756 0.000
C 0.245 0.591 0.328
C 0.755 0.081 0.328
C 0.245 0.919 0.672
C 0.755 0.409 0.672
C 0.249 0.244 0.000
Zr 0.000 0.000 0.000

Computed properties:
The density of states at the Fermi level comes out at 9.1 states/eV/f.u. The value obtained for the volume is 16.0 A^3/atom. The value obtained for the energy of formation from the pure elements is -0.49 eV per atom. The total energy is -117.28 eV/cell. The total magnetization is 0.0 μB/f.u.


[3]
ZrPa3C4 | GGA-PBE | optimized geometry

Cell: 3.537 6.147 6.147 Å, 109.42 90.00 90.00°
Fractional coordinates of all 8 atoms:
C 0.000 0.755 0.755
C 0.000 0.245 0.245
C 0.500 0.245 0.755
C 0.500 0.755 0.245
Pa 0.000 0.000 0.500
Pa 0.000 0.500 0.000
Pa 0.500 0.500 0.500
Zr 0.500 0.000 0.000

Computed properties:
For the excess energy over the best structure of this formula in the dataset, the calculation gives 0 meV per atom. The density of states at the Fermi level comes out at 5.5 states/eV/f.u. The value obtained for the volume is 15.8 A^3/atom. The value obtained for the energy of formation from the pure elements is -0.52 eV per atom. The total energy is -78.07 eV/cell. The total magnetization is 0.0 μB/f.u.


[4]
ZrPaC | GGA-PBE | optimized geometry

Cell: 3.353 3.313 19.201 Å, 90.00 90.00 90.00°
Fractional coordinates of all 12 atoms:
C 0.374 0.750 0.813
C 0.874 0.250 0.687
C 0.626 0.250 0.187
C 0.126 0.750 0.313
Zr 0.875 0.250 0.807
Zr 0.375 0.750 0.693
Zr 0.125 0.750 0.193
Zr 0.625 0.250 0.307
Pa 0.648 0.250 0.061
Pa 0.148 0.750 0.439
Pa 0.352 0.750 0.939
Pa 0.852 0.250 0.561

Computed properties:
For the excess energy over the best structure of this formula in the dataset, the calculation gives 0 meV per atom. The density of states at the Fermi level comes out at 3.2 states/eV/f.u. The value obtained for the volume is 17.8 A^3/atom. The value obtained for the energy of formation from the pure elements is -0.36 eV per atom. The total energy is -113.44 eV/cell. The total magnetization is 0.0 μB/f.u.


[5]
Zr2PaC3 | GGA-PBE | optimized geometry

Cell: 4.870 6.889 10.349 Å, 90.00 90.00 90.00°
Fractional coordinates of all 24 atoms:
C 0.750 0.876 0.417
C 0.750 0.871 0.087
C 0.250 0.124 0.583
C 0.750 0.371 0.413
C 0.750 0.876 0.748
C 0.250 0.624 0.917
C 0.750 0.376 0.752
C 0.250 0.624 0.248
C 0.250 0.129 0.913
C 0.250 0.124 0.252
C 0.750 0.376 0.083
C 0.250 0.629 0.587
Pa 0.750 0.628 0.583
Pa 0.250 0.372 0.417
Pa 0.250 0.872 0.083
Pa 0.750 0.128 0.917
Zr 0.750 0.119 0.584
Zr 0.250 0.873 0.750
Zr 0.750 0.627 0.250
Zr 0.750 0.127 0.250
Zr 0.250 0.881 0.416
Zr 0.250 0.373 0.750
Zr 0.250 0.381 0.084
Zr 0.750 0.619 0.916

Computed properties:
The density of states at the Fermi level comes out at 2.5 states/eV/f.u. The value obtained for the volume is 14.5 A^3/atom. The value obtained for the energy of formation from the pure elements is -0.64 eV per atom. The total energy is -232.53 eV/cell. The total magnetization is 0.0 μB/f.u.


[6]
Zr5PaC6 | GGA-PBE | optimized geometry

Cell: 5.881 5.883 5.881 Å, 59.99 80.41 70.55°
Fractional coordinates of all 12 atoms:
Pa 0.000 0.000 0.000
Zr 0.500 0.832 0.336
Zr 0.000 0.666 0.667
Zr 0.500 0.168 0.664
Zr 0.500 0.500 0.000
Zr 0.000 0.334 0.333
C 0.747 0.084 0.335
C 0.253 0.581 0.335
C 0.251 0.251 0.000
C 0.747 0.419 0.665
C 0.749 0.749 0.000
C 0.253 0.916 0.665

Computed properties:
The density of states at the Fermi level comes out at 2.7 states/eV/f.u. The value obtained for the volume is 13.8 A^3/atom. The value obtained for the energy of formation from the pure elements is -0.73 eV per atom. The total energy is -116.36 eV/cell. The total magnetization is 0.0 μB/f.u.


[7]
Zr5PaC5 | GGA-PBE | optimized geometry

Cell: 4.804 5.897 6.810 Å, 106.76 90.00 114.04°
Fractional coordinates of all 11 atoms:
Zr 0.323 0.646 0.666
Zr 0.673 0.346 0.844
Zr 0.677 0.354 0.334
Zr 0.327 0.654 0.156
Zr 0.000 0.000 0.500
C 0.831 0.662 0.171
C 0.169 0.338 0.829
C 0.500 0.000 0.000
C 0.832 0.665 0.660
C 0.168 0.335 0.340
Pa 0.000 0.000 0.000

Computed properties:
The density of states at the Fermi level comes out at 4.0 states/eV/f.u. The value obtained for the volume is 15.2 A^3/atom. The value obtained for the energy of formation from the pure elements is -0.67 eV per atom. The total energy is -105.71 eV/cell. The total magnetization is 0.0 μB/f.u.


[8]
ZrPa3C4 | GGA-PBE | optimized geometry

Cell: 5.010 5.010 6.150 Å, 114.04 114.04 90.00°
Fractional coordinates of all 8 atoms:
C 0.500 0.000 0.000
C 0.247 0.247 0.495
C 0.753 0.753 0.505
C 0.000 0.500 0.000
Pa 0.250 0.750 0.500
Pa 0.500 0.500 0.000
Pa 0.750 0.250 0.500
Zr 0.000 0.000 0.000

Computed properties:
For the excess energy over the best structure of this formula in the dataset, the calculation gives 10 meV per atom. The density of states at the Fermi level comes out at 4.8 states/eV/f.u. The value obtained for the volume is 15.8 A^3/atom. The value obtained for the energy of formation from the pure elements is -0.51 eV per atom. The total energy is -78.00 eV/cell. The total magnetization is 0.0 μB/f.u.


[9]
ZrPa2C | GGA-PBE | optimized geometry

Cell: 3.254 3.254 9.315 Å, 79.94 79.94 60.00°
Fractional coordinates of all 4 atoms:
Pa 0.889 0.889 0.333
Pa 0.111 0.111 0.667
Zr 0.000 0.000 0.000
C 0.500 0.500 0.500

Computed properties:
The density of states at the Fermi level comes out at 6.1 states/eV/f.u. The value obtained for the volume is 20.9 A^3/atom. The value obtained for the energy of formation from the pure elements is 0.05 eV per atom. The total energy is -36.55 eV/cell. The total magnetization is 0.0 μB/f.u.


[10]
Zr3PaC4 | GGA-PBE | optimized geometry

Cell: 5.909 5.921 6.859 Å, 90.00 90.00 109.39°
Fractional coordinates of all 16 atoms:
C 0.001 0.253 0.624
C 0.000 0.746 0.872
C 0.999 0.747 0.376
C 0.501 0.253 0.376
C 0.500 0.746 0.128
C 0.500 0.254 0.872
C 0.000 0.254 0.128
C 0.499 0.747 0.624
Zr 0.750 0.500 0.133
Zr 0.250 0.500 0.867
Zr 0.750 0.000 0.381
Zr 0.250 0.500 0.380
Zr 0.250 0.000 0.619
Zr 0.750 0.500 0.620
Pa 0.750 0.000 0.873
Pa 0.250 0.000 0.127

Computed properties:
The density of states at the Fermi level comes out at 1.2 states/eV/f.u. The value obtained for the volume is 14.1 A^3/atom. The value obtained for the energy of formation from the pure elements is -0.70 eV per atom. The total energy is -155.30 eV/cell. The total magnetization is 0.0 μB/f.u.


[11]
ZrPa3C | GGA-PBE | optimized geometry

Cell: 4.820 4.820 4.820 Å, 90.00 90.00 90.00°
Fractional coordinates of all 5 atoms:
Pa 0.000 0.000 0.500
Pa 0.500 0.000 0.000
Pa 0.000 0.500 0.000
Zr 0.500 0.500 0.500
C 0.000 0.000 0.000

Computed properties:
The density of states at the Fermi level comes out at 3.5 states/eV/f.u. The value obtained for the volume is 22.4 A^3/atom. The value obtained for the energy of formation from the pure elements is -0.09 eV per atom. The total energy is -46.73 eV/cell. The total magnetization is 0.0 μB/f.u.


[12]
ZrPaC | GGA-PBE | optimized geometry

Cell: 5.863 3.356 3.356 Å, 120.00 90.00 90.00°
Fractional coordinates of all 3 atoms:
Zr 0.771 0.667 0.333
C 0.987 0.000 0.000
Pa 0.242 0.333 0.667

Computed properties:
For the excess energy over the best structure of this formula in the dataset, the calculation gives 43 meV per atom. The density of states at the Fermi level comes out at 3.8 states/eV/f.u. The value obtained for the volume is 19.1 A^3/atom. The value obtained for the energy of formation from the pure elements is -0.32 eV per atom. The total energy is -28.23 eV/cell. The total magnetization is 0.6 μB/f.u.


[13]
ZrPa4C5 | GGA-PBE | optimized geometry

Cell: 3.560 3.560 12.823 Å, 97.98 97.98 90.00°
Fractional coordinates of all 10 atoms:
C 0.904 0.904 0.808
C 0.698 0.698 0.396
C 0.302 0.302 0.604
C 0.500 0.500 0.000
C 0.096 0.096 0.192
Pa 0.597 0.597 0.194
Pa 0.199 0.199 0.399
Pa 0.403 0.403 0.806
Pa 0.801 0.801 0.601
Zr 0.000 0.000 0.000

Computed properties:
The density of states at the Fermi level comes out at 6.5 states/eV/f.u. The value obtained for the volume is 15.9 A^3/atom. The value obtained for the energy of formation from the pure elements is -0.49 eV per atom. The total energy is -97.55 eV/cell. The total magnetization is 0.0 μB/f.u.


[14]
Pb5C | GGA-PBE | optimized geometry

Cell: 5.878 5.878 5.566 Å, 90.00 90.00 120.00°
Fractional coordinates of all 6 atoms:
Pb 0.000 0.686 0.000
Pb 0.686 0.000 0.000
Pb 0.667 0.333 0.500
Pb 0.314 0.314 0.000
Pb 0.333 0.667 0.500
C 0.000 0.000 0.500

Computed properties:
For the excess energy over the best structure of this formula in the dataset, the calculation gives 248 meV per atom. The density of states at the Fermi level comes out at 3.5 states/eV/f.u. The value obtained for the volume is 27.8 A^3/atom. The value obtained for the energy of formation from the pure elements is 0.97 eV per atom. The total energy is -21.92 eV/cell. The total magnetization is 0.0 μB/f.u.


[15]
PbC2 | GGA-PBE | optimized geometry

Cell: 9.656 3.742 6.473 Å, 90.00 102.67 90.00°
Fractional coordinates of all 12 atoms:
C 0.707 0.000 0.065
C 0.293 0.000 0.935
C 0.431 0.500 0.478
C 0.293 0.500 0.435
C 0.431 0.000 0.978
C 0.707 0.500 0.565
C 0.569 0.500 0.522
C 0.569 0.000 0.022
Pb 0.840 0.000 0.775
Pb 0.160 0.000 0.225
Pb 0.840 0.500 0.275
Pb 0.160 0.500 0.725

Computed properties:
For the excess energy over the best structure of this formula in the dataset, the calculation gives 549 meV per atom. The density of states at the Fermi level comes out at 0.7 states/eV/f.u. The value obtained for the volume is 19.0 A^3/atom. The value obtained for the energy of formation from the pure elements is 0.93 eV per atom. The total energy is -77.45 eV/cell. The total magnetization is 0.0 μB/f.u.


[16]
Pb3C | GGA-PBE | optimized geometry

Cell: 3.343 3.343 8.899 Å, 90.00 90.00 90.00°
Fractional coordinates of all 4 atoms:
Pb 0.000 0.000 0.500
Pb 0.500 0.500 0.173
Pb 0.500 0.500 0.827
C 0.000 0.000 0.000

Computed properties:
For the excess energy over the best structure of this formula in the dataset, the calculation gives 398 meV per atom. The density of states at the Fermi level comes out at 2.1 states/eV/f.u. The value obtained for the volume is 24.9 A^3/atom. The value obtained for the energy of formation from the pure elements is 1.10 eV per atom. The total energy is -15.96 eV/cell. The total magnetization is 0.0 μB/f.u.


[17]
PbC2 | GGA-PBE | optimized geometry

Cell: 4.467 4.467 4.467 Å, 124.85 124.93 81.72°
Fractional coordinates of all 3 atoms:
C 0.406 0.406 0.000
C 0.594 0.594 0.000
Pb 0.000 0.000 0.000

Computed properties:
For the excess energy over the best structure of this formula in the dataset, the calculation gives 839 meV per atom. The density of states at the Fermi level comes out at 0.0 states/eV/f.u. The value obtained for the volume is 19.2 A^3/atom. The value obtained for the energy of formation from the pure elements is 1.22 eV per atom. The total energy is -18.49 eV/cell. The total magnetization is 0.0 μB/f.u.


[18]
PbC2 | GGA-PBE | optimized geometry

Cell: 7.013 7.013 4.902 Å, 90.00 90.00 119.26°
Fractional coordinates of all 9 atoms:
C 0.783 0.783 0.500
C 0.002 0.807 0.500
C 0.217 0.217 0.500
C 0.193 0.998 0.500
C 0.807 0.002 0.500
C 0.998 0.193 0.500
Pb 0.000 0.000 0.000
Pb 0.360 0.640 0.500
Pb 0.640 0.360 0.500

Computed properties:
For the excess energy over the best structure of this formula in the dataset, the calculation gives 985 meV per atom. The density of states at the Fermi level comes out at 1.4 states/eV/f.u. The value obtained for the volume is 23.4 A^3/atom. The value obtained for the energy of formation from the pure elements is 1.37 eV per atom. The total energy is -54.16 eV/cell. The total magnetization is 0.0 μB/f.u.


[19]
Pb4C | GGA-PBE | optimized geometry

Cell: 5.676 5.676 5.676 Å, 109.47 109.47 109.47°
Fractional coordinates of all 5 atoms:
Pb 0.500 0.500 0.500
Pb 0.500 0.000 0.000
Pb 0.000 0.000 0.500
Pb 0.000 0.500 0.000
C 0.000 0.000 0.000

Computed properties:
For the excess energy over the best structure of this formula in the dataset, the calculation gives 138 meV per atom. The density of states at the Fermi level comes out at 3.2 states/eV/f.u. The value obtained for the volume is 28.2 A^3/atom. The value obtained for the energy of formation from the pure elements is 0.96 eV per atom. The total energy is -19.24 eV/cell. The total magnetization is 0.0 μB/f.u.


[20]
PbC2 | GGA-PBE | optimized geometry

Cell: 4.563 4.563 7.467 Å, 74.04 74.04 51.40°
Fractional coordinates of all 6 atoms:
C 0.424 0.424 0.498
C 0.576 0.576 0.502
C 0.952 0.952 0.084
C 0.048 0.048 0.916
Pb 0.262 0.262 0.265
Pb 0.738 0.738 0.735

Computed properties:
For the excess energy over the best structure of this formula in the dataset, the calculation gives 760 meV per atom. The value obtained for the volume is 19.3 A^3/atom. The value obtained for the energy of formation from the pure elements is 1.14 eV per atom. The total energy is -37.46 eV/cell. The total magnetization is 0.0 μB/f.u.